Version one
ReMo6W8 | PBE-GGA | optimized geometry

Cell lengths 10.062, 10.062, 2.913 Å; angles 90.00, 90.00, 120.00 degrees
Fractional positions:
Re1 0.000 0.000 0.000
Mo1 0.101 0.470 0.867
Mo2 0.369 0.899 0.867
Mo3 0.470 0.369 0.133
Mo4 0.530 0.631 0.867
Mo5 0.631 0.101 0.133
Mo6 0.899 0.530 0.133
W1 0.083 0.799 0.641
W2 0.201 0.284 0.641
W3 0.284 0.083 0.359
W4 0.333 0.667 0.374
W5 0.667 0.333 0.626
W6 0.716 0.917 0.641
W7 0.799 0.716 0.359
W8 0.917 0.201 0.359

Summary:
Space-group type: No. 147
DOS at the Fermi energy, states/eV per cell: 11.76
Total magnetic moment, μB/atom: 0.0000


Version two
ReMo6W8 | PBE-GGA | optimized geometry

Cell lengths 7.081, 7.081, 7.081 Å; angles 60.10, 60.10, 60.10 degrees
Fractional positions:
Re1 0.000 0.000 0.000
Mo1 0.126 0.380 0.623
Mo2 0.377 0.874 0.620
Mo3 0.380 0.623 0.126
Mo4 0.620 0.377 0.874
Mo5 0.623 0.126 0.380
Mo6 0.874 0.620 0.377
W1 0.130 0.624 0.869
W2 0.131 0.870 0.376
W3 0.250 0.250 0.250
W4 0.376 0.131 0.870
W5 0.624 0.869 0.130
W6 0.750 0.750 0.750
W7 0.869 0.130 0.624
W8 0.870 0.376 0.131

Summary:
Space-group type: No. 148
DOS at the Fermi energy, states/eV per cell: 10.12
Total magnetic moment, μB/atom: 0.0000


Energy comparison, zero being the most stable, in meV per atom: version one 307; version two 0.